A relaxed structure of La2AlTlFe. Source: the Alexandria database, functional PBE.

- SG: P4/mmm (123)
- Energy of formation: -0.2177 eV/atom
- Magnetization: 0.465 μB per formula unit

Unit cell a=5.2093 b=5.2093 c=4.8078 alpha=90.00 beta=90.00 gamma=90.00
Each line ends with the local moment (μB).
Positions (direct):
Al: 0.0000 0.0000 0.5000  0.00
Tl: 0.5000 0.5000 0.5000  0.02
Fe: 0.0000 0.0000 0.0000  0.40
La: 0.5000 0.0000 0.0000  0.00
La: 0.0000 0.5000 0.0000  0.00